Record 1
Density functional theory data (GGA-PBE) for a relaxed structure of SmLuAuSe3.

Summary:
raw total energy: -5.2658 eV/atom
mass density: 8.95 g/cm3
magnetization: 0.0 Bohr magnetons per cell

Cell and atoms, written as CIF:
```
data_SmLuAuSe3
_chemical_formula_sum 'Sm2 Lu2 Au2 Se6'
_cell_length_a 7.791
_cell_length_b 4.003
_cell_length_c 9.380
_cell_angle_alpha 90.00
_cell_angle_beta 105.56
_cell_angle_gamma 90.00
_space_group_name_H-M_alt 'P 1 21/m 1'
_space_group_IT_number 11
loop_
_space_group_symop_operation_xyz
'x,y,z'
'-x,-y,-z'
'-x,y+1/2,-z'
'x,-y+1/2,z'
loop_
_atom_site_label
_atom_site_fract_x
_atom_site_fract_y
_atom_site_fract_z
Sm1 0.234 0.250 0.294
Lu1 0.309 0.750 0.819
Au1 0.110 0.250 0.579
Se1 0.057 0.250 0.852
Se2 0.361 0.750 0.539
Se3 0.417 0.750 0.136
```

***

Record 2
Density functional theory data (GGA-PBE) for a relaxed structure of Lu2Nb4In3C3.

Summary:
raw total energy: -7.5896 eV/atom
mass density: 8.77 g/cm3
magnetization: 0.0 Bohr magnetons per cell

Cell and atoms, written as CIF:
```
data_Lu2Nb4In3C3
_chemical_formula_sum 'Lu8 Nb16 In12 C12'
_cell_length_a 9.974
_cell_length_b 5.754
_cell_length_c 14.931
_cell_angle_alpha 90.00
_cell_angle_beta 103.09
_cell_angle_gamma 90.00
_space_group_name_H-M_alt 'C 1 2/c 1'
_space_group_IT_number 15
loop_
_space_group_symop_operation_xyz
'x,y,z'
'-x,-y,-z'
'-x,y,-z+1/2'
'x,-y,z+1/2'
'x+1/2,y+1/2,z'
'-x+1/2,-y+1/2,-z'
'-x+1/2,y+1/2,-z+1/2'
'x+1/2,-y+1/2,z+1/2'
loop_
_atom_site_label
_atom_site_fract_x
_atom_site_fract_y
_atom_site_fract_z
Lu1 0.045 0.079 0.401
Nb1 0.109 0.406 0.575
Nb2 0.230 0.422 0.925
In1 0.000 0.488 0.250
In2 0.204 0.120 0.753
C1 0.086 0.257 0.000
C2 0.250 0.250 0.500
```

***

Record 3
Density functional theory data (GGA-PBE) for a relaxed structure of SmSi2OsAu.

Summary:
raw total energy: -6.5423 eV/atom
mass density: 11.17 g/cm3
magnetization: 0.0 Bohr magnetons per cell

Cell and atoms, written as CIF:
```
data_SmSi2OsAu
_chemical_formula_sum 'Sm2 Si4 Os2 Au2'
_cell_length_a 4.113
_cell_length_b 4.113
_cell_length_c 10.435
_cell_angle_alpha 90.00
_cell_angle_beta 90.00
_cell_angle_gamma 90.00
_space_group_name_H-M_alt 'I -4 m 2'
_space_group_IT_number 119
_space_group_name_Hall 'I -4 -2'
loop_
_atom_site_label
_atom_site_fract_x
_atom_site_fract_y
_atom_site_fract_z
Sm1 0.000 0.000 0.000
Si1 0.000 0.000 0.385
Os1 0.000 0.500 0.750
Au1 0.000 0.500 0.250
```

***

Record 4
Density functional theory data (GGA-PBE) for a relaxed structure of ZrCoB.

Summary:
raw total energy: -6.6535 eV/atom
mass density: 5.71 g/cm3
magnetization: 0.2 Bohr magnetons per cell

Cell and atoms, written as CIF:
```
data_ZrCoB
_chemical_formula_sum 'Zr4 Co4 B4'
_cell_length_a 5.720
_cell_length_b 5.720
_cell_length_c 5.720
_cell_angle_alpha 90.00
_cell_angle_beta 90.00
_cell_angle_gamma 90.00
_space_group_name_H-M_alt 'F -4 3 m'
_space_group_IT_number 216
_space_group_name_Hall 'F -4 2 3'
loop_
_atom_site_label
_atom_site_fract_x
_atom_site_fract_y
_atom_site_fract_z
Zr1 0.000 0.000 0.000
Co1 0.250 0.250 0.250
B1 0.250 0.250 0.750
```

***

Record 5
Density functional theory data (GGA-PBE) for a relaxed structure of Cs2PdIBr3.

Summary:
raw total energy: -3.0779 eV/atom
mass density: 3.93 g/cm3

Cell and atoms, written as CIF:
```
data_Cs2PdIBr3
_chemical_formula_sum 'Cs4 Pd2 I2 Br6'
_cell_length_a 4.984
_cell_length_b 11.592
_cell_length_c 10.807
_cell_angle_alpha 90.00
_cell_angle_beta 90.00
_cell_angle_gamma 90.00
_space_group_name_H-M_alt 'A m m 2'
_space_group_IT_number 38
loop_
_space_group_symop_operation_xyz
'x,y,z'
'-x,-y,z'
'-x,y,z'
'x,-y,z'
'x,y+1/2,z+1/2'
'-x,-y+1/2,z+1/2'
'-x,y+1/2,z+1/2'
'x,-y+1/2,z+1/2'
loop_
_atom_site_label
_atom_site_fract_x
_atom_site_fract_y
_atom_site_fract_z
Cs1 0.000 0.235 0.000
Pd1 0.500 0.000 0.747
I1 0.500 0.000 0.505
Br1 0.500 0.000 0.980
Br2 0.500 0.214 0.748
```

***

Record 6
Density functional theory data (GGA-PBE) for a relaxed structure of K3MoP2.

Summary:
raw total energy: -4.4626 eV/atom
mass density: 2.56 g/cm3
magnetization: 0.0 Bohr magnetons per cell

Cell and atoms, written as CIF:
```
data_K3MoP2
_chemical_formula_sum 'K12 Mo4 P8'
_cell_length_a 7.815
_cell_length_b 14.750
_cell_length_c 6.203
_cell_angle_alpha 90.00
_cell_angle_beta 90.00
_cell_angle_gamma 90.00
_space_group_name_H-M_alt 'I b a m'
_space_group_IT_number 72
_space_group_name_Hall '-I 2 2c'
loop_
_atom_site_label
_atom_site_fract_x
_atom_site_fract_y
_atom_site_fract_z
K1 0.000 0.000 0.250
K2 0.201 0.312 0.000
Mo1 0.000 0.500 0.250
P1 0.167 0.414 0.500
```

***

Record 7
Density functional theory data (GGA-PBE) for a relaxed structure of KLu.

Summary:
raw total energy: -1.7809 eV/atom
mass density: 3.03 g/cm3
magnetization: 2.7 Bohr magnetons per cell

Cell and atoms, written as CIF:
```
data_KLu
_chemical_formula_sum 'K2 Lu2'
_cell_length_a 6.4677
_cell_length_b 6.4677
_cell_length_c 6.4686
_cell_angle_alpha 90.00
_cell_angle_beta 90.00
_cell_angle_gamma 120.00
_space_group_name_H-M_alt 'P 63/m m c'
_space_group_IT_number 194
_space_group_name_Hall '-P 6c 2c'
loop_
_atom_site_label
_atom_site_fract_x
_atom_site_fract_y
_atom_site_fract_z
K1 0.3333 0.6667 0.2500
Lu1 0.0000 0.0000 0.0000
```

***

Record 8
Density functional theory data (GGA-PBE) for a relaxed structure of Tm4Cu2SnGe4.

Summary:
raw total energy: -5.0108 eV/atom
mass density: 9.17 g/cm3
magnetization: 0.0 Bohr magnetons per cell

Cell and atoms, written as CIF:
```
data_Tm4Cu2SnGe4
_chemical_formula_sum 'Tm8 Cu4 Sn2 Ge8'
_cell_length_a 15.487
_cell_length_b 4.206
_cell_length_c 7.098
_cell_angle_alpha 90.00
_cell_angle_beta 108.29
_cell_angle_gamma 90.00
_space_group_name_H-M_alt 'C 1 2/m 1'
_space_group_IT_number 12
loop_
_space_group_symop_operation_xyz
'x,y,z'
'-x,-y,-z'
'-x,y,-z'
'x,-y,z'
'x+1/2,y+1/2,z'
'-x+1/2,-y+1/2,-z'
'-x+1/2,y+1/2,-z'
'x+1/2,-y+1/2,z'
loop_
_atom_site_label
_atom_site_fract_x
_atom_site_fract_y
_atom_site_fract_z
Tm1 0.088 0.000 0.379
Tm2 0.151 0.000 0.930
Cu1 0.218 0.500 0.621
Sn1 0.000 0.500 0.000
Ge1 0.065 0.500 0.657
Ge2 0.199 0.500 0.245
```

***

Record 9
Density functional theory data (GGA-PBE) for a relaxed structure of DyHgAsO.

Summary:
raw total energy: -4.6734 eV/atom
mass density: 9.03 g/cm3
magnetization: 0.0 Bohr magnetons per cell
distance to the lowest polymorph of the same formula: 0.499 eV/atom

Cell and atoms, written as CIF:
```
data_DyHgAsO
_chemical_formula_sum 'Dy2 Hg2 As2 O2'
_cell_length_a 5.890
_cell_length_b 5.890
_cell_length_c 4.812
_cell_angle_alpha 90.00
_cell_angle_beta 90.00
_cell_angle_gamma 90.00
_space_group_name_H-M_alt 'P 4/n m m'
_space_group_IT_number 129
loop_
_space_group_symop_operation_xyz
'x,y,z'
'-x,-y,-z'
'-y+1/2,x,z'
'y+1/2,-x,-z'
'-x+1/2,-y+1/2,z'
'x+1/2,y+1/2,-z'
'y,-x+1/2,z'
'-y,x+1/2,-z'
'x+1/2,-y,-z'
'-x+1/2,y,z'
'-y,-x,-z'
'y,x,z'
'-x,y+1/2,-z'
'x,-y+1/2,z'
'y+1/2,x+1/2,-z'
'-y+1/2,-x+1/2,z'
loop_
_atom_site_label
_atom_site_fract_x
_atom_site_fract_y
_atom_site_fract_z
Dy1 0.250 0.750 0.000
Hg1 0.250 0.250 0.494
As1 0.250 0.250 0.994
O1 0.250 0.750 0.500
```

***

Record 10
Density functional theory data (GGA-PBE) for a relaxed structure of LuTlCoTe3.

Summary:
raw total energy: -4.4097 eV/atom
mass density: 8.02 g/cm3
magnetization: 7.4 Bohr magnetons per cell
distance to the lowest polymorph of the same formula: 0.093 eV/atom

Cell and atoms, written as CIF:
```
data_LuTlCoTe3
_chemical_formula_sum 'Lu4 Tl4 Co4 Te12'
_cell_length_a 12.697
_cell_length_b 4.231
_cell_length_c 12.651
_cell_angle_alpha 90.00
_cell_angle_beta 90.00
_cell_angle_gamma 90.00
_space_group_name_H-M_alt 'P n m a'
_space_group_IT_number 62
loop_
_space_group_symop_operation_xyz
'x,y,z'
'-x,-y,-z'
'-x+1/2,-y,z+1/2'
'x+1/2,y,-z+1/2'
'x+1/2,-y+1/2,-z+1/2'
'-x+1/2,y+1/2,z+1/2'
'-x,y+1/2,-z'
'x,-y+1/2,z'
loop_
_atom_site_label
_atom_site_fract_x
_atom_site_fract_y
_atom_site_fract_z
Lu1 0.025 0.250 0.181
Tl1 0.190 0.250 0.499
Co1 0.230 0.750 0.322
Te1 0.030 0.750 0.351
Te2 0.103 0.250 0.940
Te3 0.233 0.750 0.717
```

***

Record 11
Density functional theory data (GGA-PBE) for a relaxed structure of NpN2.

Summary:
raw total energy: -10.6770 eV/atom
mass density: 10.76 g/cm3
magnetization: 2.0 Bohr magnetons per cell

Cell and atoms, written as CIF:
```
data_NpN2
_chemical_formula_sum 'Np2 N4'
_cell_length_a 4.858
_cell_length_b 4.858
_cell_length_c 3.468
_cell_angle_alpha 90.00
_cell_angle_beta 90.00
_cell_angle_gamma 90.00
_space_group_name_H-M_alt 'P 42/m n m'
_space_group_IT_number 136
_space_group_name_Hall '-P 4n 2n'
loop_
_atom_site_label
_atom_site_fract_x
_atom_site_fract_y
_atom_site_fract_z
Np1 0.000 0.000 0.000
N1 0.182 0.182 0.500
```

***

Record 12
Density functional theory data (GGA-PBE) for a relaxed structure of TaNiBPd.

Summary:
raw total energy: -7.1163 eV/atom
mass density: 11.52 g/cm3
magnetization: 0.1 Bohr magnetons per cell
distance to the lowest polymorph of the same formula: 0.161 eV/atom

Cell and atoms, written as CIF:
```
data_TaNiBPd
_chemical_formula_sum 'Ta4 Ni4 B4 Pd4'
_cell_length_a 5.903
_cell_length_b 5.903
_cell_length_c 5.903
_cell_angle_alpha 90.00
_cell_angle_beta 90.00
_cell_angle_gamma 90.00
_space_group_name_H-M_alt 'F -4 3 m'
_space_group_IT_number 216
_space_group_name_Hall 'F -4 2 3'
loop_
_atom_site_label
_atom_site_fract_x
_atom_site_fract_y
_atom_site_fract_z
Ta1 0.000 0.000 0.000
Ni1 0.000 0.000 0.500
B1 0.250 0.250 0.250
Pd1 0.250 0.250 0.750
```

***

Number 9 is which compound? DyHgAsO